# 1
# Tb8Pr2Nd

A relaxed structure of Tb8Pr2Nd (PBE, Alexandria).

a = 9.454 Å, b = 9.454 Å, c = 9.454 Å
α = 145.60°, β = 128.61°, γ = 63.31°
Sites, in units of the cell vectors:
Tb 0.156 0.363 0.793
Tb 0.160 0.160 0.000
Tb 0.294 0.000 0.294
Tb 0.430 0.637 0.793
Tb 0.570 0.363 0.207
Tb 0.706 0.000 0.706
Tb 0.840 0.840 0.000
Tb 0.844 0.637 0.207
Pr 0.300 0.800 0.500
Pr 0.700 0.200 0.500
Nd 0.000 0.500 0.500

Values from the calculation:
N(E_F)   15.04 states/eV/f.u.
E   -4.557 eV/atom
SG   No. 71
Offset from the most stable computed form   0.00 eV/f.u.

=====

# 2
# Tb4PrNd3

A relaxed structure of Tb4PrNd3 (PBE, Alexandria).

a = 9.028 Å, b = 9.028 Å, c = 9.028 Å
α = 157.75°, β = 98.62°, γ = 85.67°
Sites, in units of the cell vectors:
Tb 0.115 0.865 0.250
Tb 0.384 0.135 0.250
Tb 0.616 0.865 0.750
Tb 0.885 0.135 0.750
Pr 0.000 0.000 0.000
Nd 0.241 0.741 0.500
Nd 0.500 0.500 0.000
Nd 0.759 0.259 0.500

Values from the calculation:
N(E_F)   12.56 states/eV/f.u.
E   -4.574 eV/atom
SG   No. 71
Offset from the most stable computed form   0.78 eV/f.u.

=====

# 3
# TbPrNd

A relaxed structure of TbPrNd (PBE, Alexandria).

a = 8.307 Å, b = 8.307 Å, c = 3.511 Å
α = 90.00°, β = 90.00°, γ = 90.80°
Sites, in units of the cell vectors:
Tb 0.237 0.237 0.000
Tb 0.763 0.763 0.000
Pr 0.262 0.738 0.500
Pr 0.738 0.262 0.500
Nd 0.000 0.000 0.500
Nd 0.500 0.500 0.000

Values from the calculation:
N(E_F)   4.87 states/eV/f.u.
E   -4.091 eV/atom
SG   No. 65
Offset from the most stable computed form   1.84 eV/f.u.

=====

# 4
# TbPr4Nd8

A relaxed structure of TbPr4Nd8 (PBE, Alexandria).

a = 7.929 Å, b = 7.929 Å, c = 7.929 Å
α = 97.53°, β = 97.53°, γ = 97.53°
Sites, in units of the cell vectors:
Tb 0.000 0.000 0.000
Pr 0.000 0.000 0.500
Pr 0.000 0.500 0.000
Pr 0.500 0.000 0.000
Pr 0.500 0.500 0.500
Nd 0.169 0.666 0.666
Nd 0.257 0.257 0.257
Nd 0.334 0.334 0.831
Nd 0.334 0.831 0.334
Nd 0.666 0.169 0.666
Nd 0.666 0.666 0.169
Nd 0.743 0.743 0.743
Nd 0.831 0.334 0.334

Values from the calculation:
N(E_F)   27.36 states/eV/f.u.
E   -4.374 eV/atom
SG   No. 166

=====

| no. | energy of formation (eV per atom) |
| --- | --- |
| 1 | 0.112 |
| 2 | 0.127 |
| 3 | 0.635 |
| 4 | 0.386 |